No. 1
# Li7SO2 | the Alexandria database | PBE | optimized geometry
data_Li7SO2
_chemical_formula_sum 'Li14 S2 O4'
_symmetry_space_group_name_H-M 'C m m m'
_symmetry_Int_Tables_number 65
_symmetry_space_group_name_Hall '-C 2 2'
_cell_length_a 6.431
_cell_length_b 10.052
_cell_length_c 3.757
_cell_angle_alpha 90.00
_cell_angle_beta 90.00
_cell_angle_gamma 90.00
loop_
_atom_site_label
_atom_site_type_symbol
_atom_site_fract_x
_atom_site_fract_y
_atom_site_fract_z
_atom_site_occupancy
Li1 Li 0.000 0.000 0.000 1
Li2 Li 0.000 0.187 0.500 1
Li3 Li 0.181 0.359 0.000 1
S1 S 0.000 0.500 0.500 1
O1 O 0.000 0.197 0.000 1
# ΔE_f (raw)	-1.30	eV per atom
# crystal system	orthorhombic
# calculated density	1.5	g/cm³

No. 2
# Mg5Np3Te12 | the Alexandria database | PBE | optimized geometry
data_Mg5Np3Te12
_chemical_formula_sum 'Mg40 Np24 Te96'
_symmetry_space_group_name_H-M 'I a -3 d'
_symmetry_Int_Tables_number 230
_symmetry_space_group_name_Hall '-I 4bd 2c 3'
_cell_length_a 17.402
_cell_length_b 17.402
_cell_length_c 17.402
_cell_angle_alpha 90.00
_cell_angle_beta 90.00
_cell_angle_gamma 90.00
loop_
_atom_site_label
_atom_site_type_symbol
_atom_site_fract_x
_atom_site_fract_y
_atom_site_fract_z
_atom_site_occupancy
Mg1 Mg 0.000 0.000 0.000 1
Mg2 Mg 0.000 0.250 0.375 1
Np1 Np 0.000 0.250 0.125 1
Te1 Te 0.022 0.070 0.653 1
# ΔE_f (raw)	-0.52	eV per atom
# crystal system	cubic
# calculated density	6.0	g/cm³

No. 3
# Sr3PbBr2Cl6 | the Alexandria database | PBE | optimized geometry
data_Sr3PbBr2Cl6
_chemical_formula_sum 'Sr6 Pb2 Br4 Cl12'
_symmetry_space_group_name_H-M 'C 1 2/m 1'
_symmetry_Int_Tables_number 12
_symmetry_space_group_name_Hall '-C 2y'
_cell_length_a 15.191
_cell_length_b 8.739
_cell_length_c 6.379
_cell_angle_alpha 90.00
_cell_angle_beta 92.96
_cell_angle_gamma 90.00
loop_
_atom_site_label
_atom_site_type_symbol
_atom_site_fract_x
_atom_site_fract_y
_atom_site_fract_z
_atom_site_occupancy
Sr1 Sr 0.000 0.000 0.000 1
Sr2 Sr 0.250 0.250 0.500 1
Pb1 Pb 0.000 0.500 0.500 1
Br1 Br 0.175 0.000 0.775 1
Cl1 Cl 0.079 0.250 0.261 1
Cl2 Cl 0.171 0.500 0.722 1
# ΔE_f (raw)	-2.03	eV per atom
# crystal system	monoclinic
# calculated density	3.3	g/cm³

Which value of ΔE_f (raw) does entry 3 give? -2.03 eV per atom